Record 1
This record from Alexandria via LeMat-Bulk describes a relaxed structure of TbHo3Te6. The functional is PBE-GGA.

a b c (Å): 9.001 9.001 9.001
angles (deg): 90.52 90.52 90.52
Positions (direct):
Tb (0.000, 0.000, 0.000)
Tb (0.500, 0.500, 0.500)
Ho (0.425, 0.918, 0.757)
Ho (0.918, 0.757, 0.425)
Ho (0.243, 0.575, 0.082)
Ho (0.757, 0.425, 0.918)
Ho (0.082, 0.243, 0.575)
Ho (0.575, 0.082, 0.243)
Te (0.317, 0.912, 0.091)
Te (0.088, 0.909, 0.683)
Te (0.591, 0.823, 0.462)
Te (0.909, 0.683, 0.088)
Te (0.462, 0.591, 0.823)
Te (0.177, 0.538, 0.409)
Te (0.823, 0.462, 0.591)
Te (0.538, 0.409, 0.177)
Te (0.091, 0.317, 0.912)
Te (0.409, 0.177, 0.538)
Te (0.912, 0.091, 0.317)
Te (0.683, 0.088, 0.909)

As for the symmetry: R-3 (148). For the energy above the most stable polymorph in this dataset, the calculation gives 0.0477 eV per atom. The formation energy (no corrections) is -1.321 eV per atom.

Record 2
This record from Alexandria via LeMat-Bulk describes a relaxed structure of Ca3Ac12La. The functional is PBE-GGA.

a b c (Å): 5.596 5.596 22.335
angles (deg): 90.00 90.00 90.00
Positions (direct):
Ca (0.000, 0.000, 0.249)
Ca (0.000, 0.000, 0.500)
Ca (0.000, 0.000, 0.751)
Ac (0.500, 0.500, 0.000)
Ac (0.500, 0.500, 0.250)
Ac (0.500, 0.500, 0.500)
Ac (0.500, 0.500, 0.750)
Ac (0.500, 0.000, 0.122)
Ac (0.500, 0.000, 0.374)
Ac (0.500, 0.000, 0.626)
Ac (0.500, 0.000, 0.878)
Ac (0.000, 0.500, 0.122)
Ac (0.000, 0.500, 0.374)
Ac (0.000, 0.500, 0.626)
Ac (0.000, 0.500, 0.878)
La (0.000, 0.000, 0.000)

As for the symmetry: P4/mmm (123). Its density of states at the Fermi level is 1.54 states/eV per atom. The calculation puts the formation energy at 0.4 eV/f.u.

Record 3
This record from Alexandria via LeMat-Bulk describes a relaxed structure of NaCdFe2Cl. The functional is PBE-GGA.

a b c (Å): 4.310 5.037 4.310
angles (deg): 90.00 90.00 90.00
Positions (direct):
Na (0.000, 0.500, 0.000)
Cl (0.000, 0.000, 0.000)
Fe (0.000, 0.000, 0.500)
Fe (0.500, 0.000, 0.000)
Cd (0.500, 0.500, 0.500)

As for the symmetry: P4/mmm (123). Its density of states at the Fermi level is 1.01 states/eV per atom. The formation energy (no corrections) is 0.513 eV per atom.

DFT total energy (computed, eV/atom): -5.042 -3.743 -3.688
Ρ (computed, g cm⁻³): 6.46 7.08 5.01